Below is a relaxed structure of SrCrI2O, with properties calculated at the GGA+U level.

Lattice parameters (Å, degrees): 6.435 6.435 4.495 90.00 90.00 90.00
Last column: magnetic moment on the atom in μB.
Sites, in units of the cell vectors:
I 0.000 0.500 0.000  -0.01
Sr 0.000 0.000 0.000  0.02
O 0.000 0.000 0.500  0.65
I 0.500 0.000 0.000  -0.01
Cr 0.500 0.500 0.500  4.56

Total DFT energy (no corrections) = -20.0 eV/cell